Computed, not measured: a relaxed Tb3HoTh2 crystal at the PBE level of DFT.

Cell lengths 7.127, 10.096, 21.362 Å; angles 90.00, 90.00, 90.00 degrees
Space group Fddd (No. 70, origin choice 2)
Symmetry-distinct sites (fractional):
1 Tb 0.125 0.125 0.125 (multiplicity 8)
2 Tb 0.125 0.125 0.292 (multiplicity 16)
3 Ho 0.125 0.125 0.625 (multiplicity 8)
4 Th 0.125 0.125 0.461 (multiplicity 16)

Results
Uncorrected energy: -0.202 hartree per atom
Mass density: 9.6 g/cm³
Formation enthalpy at 0 K: 0.28 eV/f.u.

Computed, not measured: a relaxed TbHo4Th3 crystal at the PBE level of DFT.

Cell lengths 11.552, 7.132, 6.224 Å; angles 90.00, 90.00, 90.00 degrees
Space group Pmn2_1 (No. 31)
Symmetry-distinct sites (fractional):
1 Tb 0.000 0.123 0.000 (multiplicity 2)
2 Ho 0.000 0.373 0.488 (multiplicity 2)
3 Ho 0.000 0.632 0.990 (multiplicity 2)
4 Ho 0.250 0.372 0.830 (multiplicity 4)
5 Th 0.000 0.877 0.498 (multiplicity 2)
6 Th 0.250 0.116 0.321 (multiplicity 4)

Results
Uncorrected energy: -0.206 hartree per atom
Mass density: 9.8 g/cm³
Formation enthalpy at 0 K: 0.38 eV/f.u.

Computed, not measured: a relaxed TbHo2Th crystal at the PBE level of DFT.

Cell lengths 3.5792, 3.5792, 34.2031 Å; angles 90.00, 90.00, 120.00 degrees
Space group R3m (No. 160, hexagonal axes)
Symmetry-distinct sites (fractional):
1 Tb 0.0000 0.0000 0.0000 (multiplicity 3)
2 Ho 0.0000 0.0000 0.5816 (multiplicity 3)
3 Ho 0.0000 0.0000 0.7505 (multiplicity 3)
4 Th 0.0000 0.0000 0.1658 (multiplicity 3)

Results
Uncorrected energy: -0.195 hartree per atom
Mass density: 9.5 g/cm³
Formation enthalpy at 0 K: 0.03 eV/f.u.

Computed, not measured: a relaxed Tb12HoTh3 crystal at the PBE level of DFT.

Cell lengths 5.040, 5.040, 20.084 Å; angles 90.00, 90.00, 90.00 degrees
Space group P4/mmm (No. 123)
Symmetry-distinct sites (fractional):
1 Tb 0.000 0.000 0.000 (multiplicity 1)
2 Tb 0.000 0.000 0.250 (multiplicity 2)
3 Tb 0.000 0.000 0.500 (multiplicity 1)
4 Tb 0.000 0.500 0.125 (multiplicity 4)
5 Tb 0.000 0.500 0.374 (multiplicity 4)
6 Ho 0.500 0.500 0.500 (multiplicity 1)
7 Th 0.500 0.500 0.000 (multiplicity 1)
8 Th 0.500 0.500 0.249 (multiplicity 2)

Results
Uncorrected energy: -0.188 hartree per atom
Mass density: 9.0 g/cm³
Formation enthalpy at 0 K: 0.56 eV/f.u.

Computed, not measured: a relaxed Tb6Ho4Th crystal at the PBE level of DFT.

Cell lengths 6.581, 6.581, 16.939 Å; angles 90.00, 90.00, 90.00 degrees
Space group I-42m (No. 121)
Symmetry-distinct sites (fractional):
1 Tb 0.000 0.500 0.000 (multiplicity 4)
2 Tb 0.189 0.189 0.174 (multiplicity 8)
3 Ho 0.185 0.185 0.371 (multiplicity 8)
4 Th 0.000 0.000 0.000 (multiplicity 2)

Results
Uncorrected energy: -0.167 hartree per atom
Mass density: 8.4 g/cm³
Formation enthalpy at 0 K: 3.54 eV/f.u.

Computed, not measured: a relaxed Tb3Ho7Th crystal at the PBE level of DFT.

Cell lengths 6.932, 5.477, 9.951 Å; angles 90.00, 110.16, 90.00 degrees
Space group P2/m (No. 10)
Symmetry-distinct sites (fractional):
1 Tb 0.000 0.000 0.000 (multiplicity 1)
2 Tb 0.279 0.500 0.496 (multiplicity 2)
3 Ho 0.000 0.000 0.500 (multiplicity 1)
4 Ho 0.156 0.500 0.790 (multiplicity 2)
5 Ho 0.314 0.500 0.139 (multiplicity 2)
6 Ho 0.421 0.000 0.330 (multiplicity 2)
7 Th 0.500 0.000 0.000 (multiplicity 1)

Results
Uncorrected energy: -0.173 hartree per atom
Mass density: 8.7 g/cm³
Formation enthalpy at 0 K: 1.68 eV/f.u.